P:
First-principles (PBE-GGA) data for an optimized crystal structure of TePPb, as listed in Alexandria.

abc: 7.0145 7.0145 7.0145
angles: 90.00 90.00 90.00
Last column: nearest neighbours and their distance in Å.
Space group F-43m (No. 216)
Inequivalent atoms, fractional coordinates:
Te 0.0000 0.0000 0.0000 x4  4 P 3.04
P 0.2500 0.2500 0.2500 x4  4 Pb 3.04, 4 Te 3.04
Pb 0.0000 0.0000 0.5000 x4  4 P 3.04

Q:
First-principles (PBE-GGA) data for an optimized crystal structure of TePPb, as listed in Alexandria.

abc: 3.8272 3.8272 10.8721
angles: 90.00 90.00 90.00
Last column: nearest neighbours and their distance in Å.
Space group I4mm (No. 107)
Inequivalent atoms, fractional coordinates:
Te 0.0000 0.0000 0.0000 x2  4 P 2.84
P 0.0000 0.0000 0.5800 x2  4 Te 2.84, 1 Pb 3.10
Pb 0.0000 0.0000 0.2947 x2  1 P 3.10, 1 Te 3.20

The most stable arrangement is Q, and the next structure is 6.9 kJ/mol of atoms less stable.

P:
First-principles (PBE-GGA) data for an optimized crystal structure of TePPb2, as listed in Alexandria.

abc: 4.3150 4.3150 21.8190
angles: 90.00 90.00 120.00
Last column: nearest neighbours and their distance in Å.
Space group R-3m (No. 166, hexagonal axes)
Inequivalent atoms, fractional coordinates:
Te 0.0000 0.0000 0.0000 x3  6 Pb 3.25
P 0.0000 0.0000 0.5000 x3  6 Pb 2.94
Pb 0.0000 0.0000 0.2380 x6  3 P 2.94, 3 Te 3.25

Q:
First-principles (PBE-GGA) data for an optimized crystal structure of TePPb2, as listed in Alexandria.

abc: 4.4619 4.2040 6.4076
angles: 90.00 100.89 90.00
Last column: nearest neighbours and their distance in Å.
Space group P2/m (No. 10)
Inequivalent atoms, fractional coordinates:
Te 0.0000 0.0000 0.0000 x1  2 P 3.20, 4 Pb 3.33
P 0.0000 0.0000 0.5000 x1  4 Pb 2.86, 2 Te 3.20
Pb 0.3576 0.5000 0.7267 x2  2 P 2.86

The most stable arrangement is P, and the next structure is 13.1 kJ/mol of atoms less stable.

P:
First-principles (PBE-GGA) data for an optimized crystal structure of TePPb4, as listed in Alexandria.

abc: 5.9775 22.6336 6.0904
angles: 90.00 90.00 90.00
Last column: nearest neighbours and their distance in Å.
Space group Pbcn (No. 60)
Inequivalent atoms, fractional coordinates:
Te 0.0000 0.1237 0.2500 x4  4 Pb 3.07-3.11
P 0.0000 0.3706 0.2500 x4  4 Pb 2.72-2.74
Pb 0.1710 0.2894 0.5374 x8  1 P 2.74
Pb 0.2372 0.0419 0.5871 x8  1 P 2.72

Q:
First-principles (PBE-GGA) data for an optimized crystal structure of TePPb4, as listed in Alexandria.

abc: 9.0801 9.0801 9.0801
angles: 90.00 90.00 90.00
Last column: nearest neighbours and their distance in Å.
Space group F-43m (No. 216)
Inequivalent atoms, fractional coordinates:
Te 0.0000 0.0000 0.0000 x4  12 Pb 3.77, 4 P 3.93
P 0.2500 0.2500 0.7500 x4  12 Pb 3.76, 4 Te 3.93
Pb 0.1246 0.1246 0.3754 x16  6 Pb 3.20-3.22

The most stable arrangement is P, and the next structure is 44.0 kJ/mol of atoms less stable.

P:
First-principles (PBE-GGA) data for an optimized crystal structure of TePPb3, as listed in Alexandria.

abc: 5.9317 5.9317 5.9317
angles: 90.00 90.00 90.00
Last column: nearest neighbours and their distance in Å.
Space group Pm-3m (No. 221)
Inequivalent atoms, fractional coordinates:
Te 0.0000 0.0000 0.0000 x1  6 Pb 2.97
P 0.5000 0.5000 0.5000 x1  12 Pb 4.19
Pb 0.0000 0.0000 0.5000 x3  2 Te 2.97

Q:
First-principles (PBE-GGA) data for an optimized crystal structure of TePPb3, as listed in Alexandria.

abc: 5.5393 5.5393 5.5393
angles: 90.00 90.00 90.00
Last column: nearest neighbours and their distance in Å.
Space group Pm-3m (No. 221)
Inequivalent atoms, fractional coordinates:
Te 0.0000 0.0000 0.0000 x1  12 Pb 3.92
P 0.5000 0.5000 0.5000 x1  6 Pb 2.77
Pb 0.0000 0.5000 0.5000 x3  2 P 2.77

The most stable arrangement is Q, and the next structure is 57.9 kJ/mol of atoms less stable.

P:
First-principles (PBE-GGA) data for an optimized crystal structure of TiPPb3, as listed in Alexandria.

abc: 5.3946 5.3946 5.3946
angles: 90.00 90.00 90.00
Last column: nearest neighbours and their distance in Å.
Space group Pm-3m (No. 221)
Inequivalent atoms, fractional coordinates:
Ti 0.0000 0.0000 0.0000 x1  6 Pb 2.70
P 0.5000 0.5000 0.5000 x1  12 Pb 3.81
Pb 0.0000 0.0000 0.5000 x3  2 Ti 2.70

Q:
First-principles (PBE-GGA) data for an optimized crystal structure of TiPPb3, as listed in Alexandria.

abc: 5.3459 5.3459 5.3459
angles: 90.00 90.00 90.00
Last column: nearest neighbours and their distance in Å.
Space group Pm-3m (No. 221)
Inequivalent atoms, fractional coordinates:
Ti 0.0000 0.0000 0.0000 x1  12 Pb 3.78
P 0.5000 0.5000 0.5000 x1  6 Pb 2.67
Pb 0.0000 0.5000 0.5000 x3  2 P 2.67

The most stable arrangement is P, and the next structure is 16.5 kJ/mol of atoms less stable.

P:
First-principles (PBE-GGA) data for an optimized crystal structure of TlPPb2, as listed in Alexandria.

abc: 3.7010 3.7010 8.0944
angles: 90.00 90.00 90.00
Last column: nearest neighbours and their distance in Å.
Space group P4/mmm (No. 123)
Inequivalent atoms, fractional coordinates:
Tl 0.0000 0.0000 0.0000 x1  8 Pb 3.58, 4 Tl 3.70
P 0.0000 0.0000 0.5000 x1  8 Pb 3.07
Pb 0.5000 0.5000 0.3022 x2  4 P 3.07, 1 Pb 3.20

Q:
First-principles (PBE-GGA) data for an optimized crystal structure of TlPPb2, as listed in Alexandria.

abc: 4.0349 4.0349 7.2768
angles: 90.00 90.00 90.00
Last column: nearest neighbours and their distance in Å.
Space group P4mm (No. 99)
Inequivalent atoms, fractional coordinates:
Tl 0.0000 0.0000 0.0000 x1  5 Pb 3.25-3.51
P 0.5000 0.5000 0.3348 x1  5 Pb 2.80-2.97
Pb 0.0000 0.0000 0.4461 x1  4 P 2.97, 1 Tl 3.25
Pb 0.5000 0.5000 0.7200 x1  1 P 2.80

The most stable arrangement is P, and the next structure is 2.3 kJ/mol of atoms less stable.

P:
First-principles (PBE-GGA) data for an optimized crystal structure of TlPPb2, as listed in Alexandria.

abc: 7.5801 7.5801 7.5801
angles: 90.00 90.00 90.00
Last column: nearest neighbours and their distance in Å.
Space group Fm-3m (No. 225)
Inequivalent atoms, fractional coordinates:
Tl 0.0000 0.0000 0.0000 x4  8 Pb 3.28
P 0.0000 0.0000 0.5000 x4  8 Pb 3.28
Pb 0.2500 0.2500 0.2500 x8  4 Tl 3.28, 4 P 3.28

Q:
First-principles (PBE-GGA) data for an optimized crystal structure of TlPPb2, as listed in Alexandria.

abc: 3.9490 3.9490 26.0694
angles: 90.00 90.00 120.00
Last column: nearest neighbours and their distance in Å.
Space group R3m (No. 160, hexagonal axes)
Inequivalent atoms, fractional coordinates:
Tl 0.0000 0.0000 0.0000 x3  3 P 2.90
P 0.0000 0.0000 0.2649 x3  3 Pb 2.77, 3 Tl 2.90
Pb 0.0000 0.0000 0.5379 x3  3 P 2.77
Pb 0.0000 0.0000 0.7667 x3  3 Tl 3.46, 3 Pb 3.55

The most stable arrangement is Q, and the next structure is 13.9 kJ/mol of atoms less stable.

P:
First-principles (PBE-GGA) data for an optimized crystal structure of TlPPb2, as listed in Alexandria.

abc: 3.9218 3.9218 26.6677
angles: 90.00 90.00 120.00
Last column: nearest neighbours and their distance in Å.
Space group R3m (No. 160, hexagonal axes)
Inequivalent atoms, fractional coordinates:
Tl 0.0000 0.0000 0.0000 x3  6 Pb 3.52-3.56, 6 Tl 3.92
P 0.0000 0.0000 0.8327 x3  6 Pb 2.84-2.85
Pb 0.0000 0.0000 0.2305 x3  3 P 2.84
Pb 0.0000 0.0000 0.4342 x3  3 P 2.85

Q:
First-principles (PBE-GGA) data for an optimized crystal structure of TlPPb2, as listed in Alexandria.

abc: 6.8992 6.8992 12.3524
angles: 90.00 90.00 90.00
Last column: nearest neighbours and their distance in Å.
Space group I-42d (No. 122)
Inequivalent atoms, fractional coordinates:
Tl 0.0000 0.0000 0.0000 x4  4 Pb 3.06
P 0.0000 0.0000 0.5000 x4  4 Pb 2.73
Pb 0.2108 0.2500 0.6250 x8  2 P 2.73, 2 Tl 3.06

R:
First-principles (PBE-GGA) data for an optimized crystal structure of TlPPb2, as listed in Alexandria.

abc: 11.6447 3.9086 5.8762
angles: 90.00 119.51 90.00
Last column: nearest neighbours and their distance in Å.
Space group Cm (No. 8)
Inequivalent atoms, fractional coordinates:
Tl 0.0000 0.0000 0.0000 x2  2 P 3.11, 1 Pb 3.42
P 0.2859 0.0000 0.6111 x2  4 Pb 2.85-2.87, 2 Tl 3.11
Pb 0.1041 0.5000 0.6052 x2  2 P 2.87
Pb 0.2999 0.5000 0.2732 x2  2 P 2.85

The most stable arrangement is P, and the next structure is 2.1 kJ/mol of atoms less stable.

P:
First-principles (PBE-GGA) data for an optimized crystal structure of TlP2Pb, as listed in Alexandria.

abc: 6.2603 6.2603 12.6177
angles: 90.00 90.00 90.00
Last column: nearest neighbours and their distance in Å.
Space group I-42d (No. 122)
Inequivalent atoms, fractional coordinates:
Tl 0.0000 0.0000 0.0000 x4  4 P 2.68
P 0.2406 0.2500 0.1250 x8  2 Tl 2.68, 2 Pb 2.75
Pb 0.0000 0.0000 0.5000 x4  4 P 2.75

Q:
First-principles (PBE-GGA) data for an optimized crystal structure of TlP2Pb, as listed in Alexandria.

abc: 10.1984 3.3122 6.4879
angles: 90.00 113.50 90.00
Last column: nearest neighbours and their distance in Å.
Space group Cm (No. 8)
Inequivalent atoms, fractional coordinates:
Tl 0.0000 0.0000 0.0000 x2  4 P 3.17, 2 Tl 3.31, 1 Pb 3.44
P 0.2667 0.5000 0.3296 x2  2 P 2.25
P 0.4200 0.0000 0.3494 x2  2 P 2.25
Pb 0.1805 0.0000 0.6504 x2  4 P 3.05-3.08, 2 Pb 3.31

R:
First-principles (PBE-GGA) data for an optimized crystal structure of TlP2Pb, as listed in Alexandria.

abc: 7.0127 4.0422 7.0618
angles: 90.00 109.39 90.00
Last column: nearest neighbours and their distance in Å.
Space group C2/m (No. 12)
Inequivalent atoms, fractional coordinates:
Tl 0.0000 0.0000 0.0000 x2  6 P 2.86
P 0.2493 0.5000 0.2478 x4  3 Tl 2.86, 3 Pb 2.88
Pb 0.0000 0.5000 0.5000 x2  6 P 2.88

The most stable arrangement is Q, and the next structure is 11.4 kJ/mol of atoms less stable.

P:
First-principles (PBE-GGA) data for an optimized crystal structure of TlP2Pb, as listed in Alexandria.

abc: 5.0284 5.0284 3.6380
angles: 90.00 90.00 90.00
Last column: nearest neighbours and their distance in Å.
Space group P4/mmm (No. 123)
Inequivalent atoms, fractional coordinates:
Tl 0.0000 0.0000 0.0000 x1  8 P 3.10
P 0.0000 0.5000 0.5000 x2  4 Tl 3.10, 4 Pb 3.10
Pb 0.5000 0.5000 0.0000 x1  8 P 3.10

Q:
First-principles (PBE-GGA) data for an optimized crystal structure of TlP2Pb, as listed in Alexandria.

abc: 3.2347 3.2347 9.4156
angles: 90.00 90.00 90.00
Last column: nearest neighbours and their distance in Å.
Space group P4mm (No. 99)
Inequivalent atoms, fractional coordinates:
Tl 0.0000 0.0000 0.0000 x1  1 P 2.96, 4 Tl 3.23
P 0.0000 0.0000 0.3149 x1  4 P 2.37
P 0.5000 0.5000 0.3818 x1  4 P 2.37
Pb 0.5000 0.5000 0.6821 x1  1 P 2.83

The most stable arrangement is Q, and the next structure is 36.9 kJ/mol of atoms less stable.

P:
First-principles (PBE-GGA) data for an optimized crystal structure of TlP2Pb, as listed in Alexandria.

abc: 3.3268 5.4389 11.8133
angles: 90.00 90.00 90.00
Last column: nearest neighbours and their distance in Å.
Space group Imm2 (No. 44)
Inequivalent atoms, fractional coordinates:
Tl 0.0000 0.0000 0.0000 x2  6 P 3.31-3.55, 2 Tl 3.33, 2 Pb 3.54
P 0.0000 0.0000 0.3687 x2  2 P 2.24
P 0.0000 0.5000 0.7419 x2  2 P 2.24
Pb 0.0000 0.5000 0.2359 x2  6 P 3.14-3.19, 2 Pb 3.33

Q:
First-principles (PBE-GGA) data for an optimized crystal structure of TlP2Pb, as listed in Alexandria.

abc: 6.5383 7.4811 3.8027
angles: 90.00 90.60 90.00
Last column: nearest neighbours and their distance in Å.
Space group C2/m (No. 12)
Inequivalent atoms, fractional coordinates:
Tl 0.0000 0.0000 0.0000 x2  8 P 3.12-3.14, 2 Pb 3.27
P 0.2500 0.2500 0.5000 x4  4 Pb 3.12-3.14, 4 Tl 3.12-3.14, 2 P 3.27
Pb 0.0000 0.5000 0.0000 x2  8 P 3.12-3.14, 2 Tl 3.27

R:
First-principles (PBE-GGA) data for an optimized crystal structure of TlP2Pb, as listed in Alexandria.

abc: 4.0855 4.0855 6.7225
angles: 90.00 90.00 90.00
Last column: nearest neighbours and their distance in Å.
Space group P4/mmm (No. 123)
Inequivalent atoms, fractional coordinates:
Tl 0.0000 0.0000 0.0000 x1  2 Pb 3.36, 8 P 3.69
P 0.5000 0.5000 0.3404 x2  1 P 2.15
Pb 0.0000 0.0000 0.5000 x1  8 P 3.08, 2 Tl 3.36

S:
First-principles (PBE-GGA) data for an optimized crystal structure of TlP2Pb, as listed in Alexandria.

abc: 7.1806 7.1806 7.1806
angles: 90.00 90.00 90.00
Last column: nearest neighbours and their distance in Å.
Space group Fm-3m (No. 225)
Inequivalent atoms, fractional coordinates:
Tl 0.0000 0.0000 0.0000 x4  8 P 3.11
P 0.2500 0.2500 0.2500 x8  4 Tl 3.11, 4 Pb 3.11
Pb 0.0000 0.0000 0.5000 x4  8 P 3.11

The most stable arrangement is P, and the next structure is 4.8 kJ/mol of atoms less stable.

P:
First-principles (PBE-GGA) data for an optimized crystal structure of TlP2Pb, as listed in Alexandria.

abc: 4.1157 4.1157 11.1916
angles: 90.00 90.00 90.00
Last column: nearest neighbours and their distance in Å.
Space group I-4m2 (No. 119)
Inequivalent atoms, fractional coordinates:
Tl 0.0000 0.0000 0.0000 x2  4 P 2.91
P 0.0000 0.0000 0.5000 x2  4 Tl 2.91
P 0.0000 0.5000 0.7500 x2  4 Pb 2.91
Pb 0.0000 0.5000 0.2500 x2  4 P 2.91

Q:
First-principles (PBE-GGA) data for an optimized crystal structure of TlP2Pb, as listed in Alexandria.

abc: 3.4314 3.4314 28.9783
angles: 90.00 90.00 120.00
Last column: nearest neighbours and their distance in Å.
Space group R3m (No. 160, hexagonal axes)
Inequivalent atoms, fractional coordinates:
Tl 0.0000 0.0000 0.0000 x3  6 Tl 3.43, 3 P 3.47, 3 Pb 3.55
P 0.0000 0.0000 0.4719 x3  3 P 2.30
P 0.0000 0.0000 0.7649 x3  3 P 2.30
Pb 0.0000 0.0000 0.2317 x3  3 P 3.35, 6 Pb 3.43, 3 Tl 3.55

The most stable arrangement is Q, and the next structure is 43.9 kJ/mol of atoms less stable.